Entry 1:
The following is a DFT calculation (PBE) of an optimized crystal structure of YHoBi2O6.

abc: 6.0184 6.0184 15.2577
angles: 90.00 90.00 120.00
Space group R3 (No. 146, hexagonal axes)
Symmetry-distinct sites (fractional):
1 Y 0.0000 0.0000 0.0000
2 Ho 0.0000 0.0000 0.4994
3 Bi 0.0000 0.0000 0.2862
4 Bi 0.0000 0.0000 0.7864
5 O 0.0727 0.3702 0.5579
6 O 0.0736 0.7005 0.0584

Output
Mass density, g/cm³: 7.99
Energy relative to the elements, uncorrected, eV per atom: -2.37
E_tot, eV/cell: -216.83
Magnetization, μB/cell: 0.0


Entry 2:
The following is a DFT calculation (PBE) of an optimized crystal structure of HoZnBi2O6.

abc: 8.5968 6.3994 5.5997
angles: 90.00 90.00 90.00
Space group Pmn2_1 (No. 31)
Symmetry-distinct sites (fractional):
1 Ho 0.0000 0.1672 0.0000
2 Zn 0.0000 0.9119 0.4890
3 Bi 0.2421 0.7189 0.9649
4 O 0.0000 0.2439 0.6100
5 O 0.0000 0.8218 0.8175
6 O 0.1678 0.9731 0.2562
7 O 0.1791 0.4015 0.1083

Output
Mass density, g/cm³: 8.02
Energy relative to the elements, uncorrected, eV per atom: -1.72
E_tot, eV/cell: -121.18
Magnetization, μB/cell: 0.0